[1]
Cd2FeTc | PBE-GGA | relaxed

The structure in extended XYZ format:
```
4
Lattice="3.369 0.000 0.000 0.000 3.369 0.000 0.000 0.000 5.965" Properties=species:S:1:pos:R:3 pbc="T T T"
Tc 1.684 1.684 4.474
Fe 1.684 1.684 1.491
Cd 0.000 0.000 2.941
Cd 0.000 0.000 0.041
```

**Relative energy among the computed polymorphs**: 1.56 eV/f.u.
**Total energy**: -4.58 eV/atom
**Formation energy from the elements**: 583 meV/atom



[2]
MoPRh2 | PBE-GGA | relaxed

The structure in extended XYZ format:
```
8
Lattice="5.403 0.000 0.000 0.000 5.403 0.000 2.701 2.701 5.419" Properties=species:S:1:pos:R:3 pbc="T T T"
P 2.701 5.403 2.710
P 2.701 2.701 0.000
Rh 6.753 6.594 4.065
Rh 3.892 1.351 1.355
Rh 4.052 4.211 4.065
Rh 1.510 4.052 1.355
Mo 5.403 2.701 2.710
Mo 0.000 0.000 0.000
```

**Total energy**: -7.44 eV/atom
**Formation energy from the elements**: 298 meV/atom



[3]
HoTl2IrO8 | PBE-GGA | relaxed

The structure in extended XYZ format:
```
12
Lattice="-2.578 2.255 3.782 2.225 -3.184 3.227 5.030 4.357 0.831" Properties=species:S:1:pos:R:3 pbc="T T T"
O 2.327 1.467 5.289
O 2.450 -1.282 3.430
O 2.351 1.962 2.550
O 2.228 4.710 4.409
O 5.336 1.218 3.906
O -0.155 -0.189 1.929
O 4.833 3.618 5.910
O -0.658 2.210 3.933
Ir 0.000 0.000 0.000
Tl 3.601 2.808 4.128
Tl 1.077 0.621 3.711
Ho 2.515 2.179 0.415
```

**Energy relative to the elements, uncorrected**: -1.112 eV/atom
**Total energy**: -5.93 eV/atom



Q: The lowest total energy belongs to which entry?
A: MoPRh2



Q: Which of these has the lowest total energy?
A: MoPRh2



Q: What is the total energy in the second record?
A: -7.44 eV/atom



Q: What is the total energy in the first record?
A: -4.58 eV/atom